(1)
This record from the Alexandria database describes a geometry-optimized ZrAg2As structure. The functional is PBE-GGA.

a b c (Å): 5.5352 5.5352 2.9648
angles (deg): 90.00 90.00 120.43
Closest atoms and distances in Å follow each position.
Fractional coordinates of all 4 atoms:
Zr 0.0000 0.5000 0.5000  2 As 2.75, 2 Zr 2.96
Ag 0.5000 0.5000 0.0000  4 Ag 2.75-2.96
Ag 0.0000 0.0000 0.0000  4 Ag 2.75-2.96
As 0.5000 0.0000 0.5000  2 Zr 2.75, 2 As 2.96

## Properties
space-group type: No. 65
energy of formation from the pure elements: -0.03 eV per formula unit
DOS at the Fermi energy: 2.89 states/eV/cell



(2)
This record from the Alexandria database describes a geometry-optimized ZrAg2As structure. The functional is PBE-GGA.

a b c (Å): 3.0412 3.0412 8.4222
angles (deg): 90.00 90.00 90.00
Closest atoms and distances in Å follow each position.
Fractional coordinates of all 4 atoms:
As 0.0000 0.0000 0.5124  4 Zr 2.92, 4 As 3.04, 4 Ag 3.15
Ag 0.0000 0.0000 0.0023  8 Ag 2.93-3.04, 4 Zr 3.04
Ag 0.5000 0.5000 0.2389  8 Ag 2.93-3.04, 4 As 3.15
Zr 0.5000 0.5000 0.7464  4 As 2.92, 4 Zr 3.04, 4 Ag 3.04

## Properties
space-group type: No. 99
energy of formation from the pure elements: -0.45 eV per formula unit
DOS at the Fermi energy: 2.07 states/eV/cell



(3)
This record from the Alexandria database describes a geometry-optimized ZrAg2As structure. The functional is PBE-GGA.

a b c (Å): 4.7427 3.0814 5.4028
angles (deg): 75.76 90.00 90.00
Closest atoms and distances in Å follow each position.
Fractional coordinates of all 4 atoms:
Ag 0.0000 0.1254 0.0097  3 Ag 2.72-3.02, 2 As 2.78
Ag 0.0000 0.3746 0.4903  3 Ag 2.72-3.02, 2 As 2.78
Zr 0.5000 0.7500 0.7500  2 As 2.76, 2 Zr 3.08
As 0.5000 0.2500 0.2500  2 Zr 2.76, 4 Ag 2.78, 2 As 3.08

## Properties
space-group type: No. 10
energy of formation from the pure elements: -0.61 eV per formula unit
DOS at the Fermi energy: 2.08 states/eV/cell



(4)
This record from the Alexandria database describes a geometry-optimized ZrAg4As structure. The functional is PBE-GGA.

a b c (Å): 5.4905 5.4905 5.4905
angles (deg): 60.00 60.00 60.00
Closest atoms and distances in Å follow each position.
Fractional coordinates of all 6 atoms:
As 0.7500 0.7500 0.7500  12 Ag 3.22, 4 Zr 3.36
Zr 0.0000 0.0000 0.0000  12 Ag 3.22, 4 As 3.36
Ag 0.8756 0.3748 0.3748  6 Ag 2.74-2.75
Ag 0.3748 0.3748 0.3748  6 Ag 2.74-2.75
Ag 0.3748 0.3748 0.8756  6 Ag 2.74-2.75
Ag 0.3748 0.8756 0.3748  6 Ag 2.74-2.75

## Properties
space-group type: No. 216
energy of formation from the pure elements: 1.08 eV per formula unit
DOS at the Fermi energy: 4.17 states/eV/cell



(5)
This record from the Alexandria database describes a geometry-optimized ZrAg2As structure. The functional is PBE-GGA.

a b c (Å): 5.2716 5.2716 5.5219
angles (deg): 70.07 70.07 32.56
Closest atoms and distances in Å follow each position.
Fractional coordinates of all 4 atoms:
Ag 0.7722 0.7722 0.8123  5 Ag 2.79-2.96, 2 As 2.89
Ag 0.0134 0.0134 0.9457  5 Ag 2.79-2.96, 2 As 2.87
As 0.4837 0.4837 0.4076  3 Zr 2.73-2.81, 4 Ag 2.87-2.89, 2 As 2.96
Zr 0.2306 0.2306 0.3343  3 As 2.73-2.81, 2 Zr 2.96

## Properties
space-group type: No. 8
energy of formation from the pure elements: -0.53 eV per formula unit
DOS at the Fermi energy: 1.67 states/eV/cell



(6)
This record from the Alexandria database describes a geometry-optimized ZrAg2As structure. The functional is PBE-GGA.

a b c (Å): 9.8407 9.8407 9.8407
angles (deg): 17.78 17.78 17.78
Closest atoms and distances in Å follow each position.
Fractional coordinates of all 4 atoms:
Ag 0.9963 0.9963 0.9963  3 As 2.90, 6 Ag 3.04, 3 Zr 3.08
Ag 0.5037 0.5037 0.5037  3 As 2.90, 6 Ag 3.04, 3 Zr 3.08
As 0.2500 0.2500 0.2500  6 Ag 2.90, 6 As 3.04
Zr 0.7500 0.7500 0.7500  6 Zr 3.04, 6 Ag 3.08

## Properties
space-group type: No. 166
energy of formation from the pure elements: 0.48 eV per formula unit
DOS at the Fermi energy: 4.38 states/eV/cell



(7)
This record from the Alexandria database describes a geometry-optimized Zr2AgAs structure. The functional is PBE-GGA.

a b c (Å): 3.5469 3.5469 6.2553
angles (deg): 90.00 90.00 90.00
Closest atoms and distances in Å follow each position.
Fractional coordinates of all 4 atoms:
As 0.5000 0.5000 0.7500  8 Zr 2.92, 2 Ag 3.13
Zr 0.0000 0.0000 0.9884  4 As 2.92, 1 Zr 2.98, 4 Ag 2.99
Zr 0.0000 0.0000 0.5116  4 As 2.92, 1 Zr 2.98, 4 Ag 2.99
Ag 0.5000 0.5000 0.2500  8 Zr 2.99, 2 As 3.13

## Properties
space-group type: No. 123
energy of formation from the pure elements: -1.83 eV per formula unit
DOS at the Fermi energy: 2.92 states/eV/cell



(8)
This record from the Alexandria database describes a geometry-optimized ZrAg2As structure. The functional is PBE-GGA.

a b c (Å): 3.9238 3.9237 4.9416
angles (deg): 90.00 90.00 90.00
Closest atoms and distances in Å follow each position.
Fractional coordinates of all 4 atoms:
Ag 0.5000 0.5000 0.0000  4 Ag 2.77
Ag 0.0000 0.0000 0.0000  4 Ag 2.77
As 0.5000 0.0000 0.5000  4 Zr 2.77
Zr 0.0000 0.5000 0.5000  4 As 2.77

## Properties
space-group type: No. 123
energy of formation from the pure elements: -1.24 eV per formula unit
DOS at the Fermi energy: 1.07 states/eV/cell



Q: What is the formula in the sixth record?
A: ZrAg2As